Entry from OQMD: a relaxed structure of DyHo2Ga3CuAg2 (GGA-PBE).

a = 3.7809 Å, b = 7.4709 Å, c = 7.4709 Å
α = 120.06°, β = 90.00°, γ = 90.00°
Last column: nearest neighbours and their distance in Å.
Sites, in units of the cell vectors:
Ho 0.0000 0.3961 0.0000  1 Cu 2.96, 4 Ag 2.97, 6 Ga 3.20-3.27
Cu 0.0000 0.0005 0.0005  6 Ga 2.63-2.64
Ag 0.5000 0.6671 0.3326  3 Ga 2.86-2.88, 4 Ho 2.97, 2 Dy 2.98
Ga 0.5000 0.7538 0.0004  2 Cu 2.64, 2 Ag 2.86-2.87
Ga 0.5000 0.0004 0.7538  2 Cu 2.64, 2 Ag 2.86-2.87
Ga 0.5000 0.2463 0.2463  2 Cu 2.63, 2 Ag 2.88
Ag 0.5000 0.3326 0.6671  3 Ga 2.86-2.88, 4 Ho 2.97, 2 Dy 2.98
Ho 0.0000 0.0000 0.3961  1 Cu 2.96, 4 Ag 2.97, 6 Ga 3.20-3.27
Dy 0.0000 0.6032 0.6032  1 Cu 2.97, 4 Ag 2.98, 6 Ga 3.21-3.27

- DFT total energy: -36.376 eV/cell
- Crystal system: orthorhombic


Entry from OQMD: a relaxed structure of Fe2Au (GGA-PBE).

a = 7.9820 Å, b = 7.9820 Å, c = 7.9820 Å
α = 60.00°, β = 60.00°, γ = 60.00°
Last column: nearest neighbours and their distance in Å.
Sites, in units of the cell vectors:
Fe 0.8750 0.3750 0.3750  2 Au 2.44
Au 0.5000 0.5000 0.5000  4 Fe 2.44
Fe 0.3750 0.8750 0.3750  2 Au 2.44
Fe 0.3750 0.3750 0.3750  2 Au 2.44
Au 0.2500 0.2500 0.2500  4 Fe 2.44
Fe 0.3750 0.3750 0.8750  2 Au 2.44

- Formation energy from the elements: 2.1691 eV per atom
- Crystal system: cubic


Entry from OQMD: a relaxed structure of Pm2Ni2Ag (GGA-PBE).

a = 7.4142 Å, b = 7.4142 Å, c = 3.7460 Å
α = 90.00°, β = 90.00°, γ = 90.00°
Last column: nearest neighbours and their distance in Å.
Sites, in units of the cell vectors:
Pm 0.3228 0.1772 0.5000  6 Ni 2.85-2.91
Pm 0.1772 0.6772 0.5000  6 Ni 2.85-2.91
Ni 0.6177 0.1177 0.0000  1 Ni 2.47
Pm 0.8228 0.3228 0.5000  6 Ni 2.85-2.91
Ni 0.8823 0.6177 0.0000  1 Ni 2.47
Ni 0.3822 0.8823 0.0000  1 Ni 2.47
Ag 0.0000 0.0000 0.0000  4 Ni 2.97, 8 Pm 3.31
Ni 0.1177 0.3822 0.0000  1 Ni 2.47
Ag 0.5000 0.5000 0.0000  4 Ni 2.97, 8 Pm 3.31
Pm 0.6772 0.8228 0.5000  6 Ni 2.85-2.91

- Formation energy from the elements: -0.3453 eV per atom
- Crystal system: tetragonal


Entry from OQMD: a relaxed structure of SrZrAs2 (GGA-PBE).

a = 5.0160 Å, b = 5.0160 Å, c = 5.0160 Å
α = 60.00°, β = 60.00°, γ = 60.00°
Last column: nearest neighbours and their distance in Å.
Sites, in units of the cell vectors:
Sr 0.7500 0.7500 0.7500  4 Zr 3.07, 4 As 3.07
As 0.2500 0.2500 0.2500  4 Zr 3.07, 4 As 3.07
Zr 0.5000 0.5000 0.5000  4 Sr 3.07, 4 As 3.07
As 0.0000 0.0000 0.0000  4 Sr 3.07, 4 As 3.07

- DFT total energy: -19.289 eV/cell
- Crystal system: cubic


Entry from OQMD: a relaxed structure of Nd2HoMg3Al2Cd (GGA-PBE).

a = 4.6292 Å, b = 7.4933 Å, c = 7.4933 Å
α = 119.15°, β = 90.00°, γ = 90.00°
Last column: nearest neighbours and their distance in Å.
Sites, in units of the cell vectors:
Nd 0.0000 0.4285 0.0024  1 Cd 3.23, 4 Al 3.24, 4 Mg 3.37-3.60
Nd 0.0000 0.0024 0.4285  1 Cd 3.23, 4 Al 3.24, 4 Mg 3.37-3.60
Al 0.5000 0.6661 0.3394  3 Mg 2.88-2.93, 2 Ho 3.18
Al 0.5000 0.3394 0.6661  3 Mg 2.88-2.93, 2 Ho 3.18
Mg 0.5000 0.7543 0.9996  2 Al 2.89-2.93, 2 Cd 2.94, 2 Mg 3.17-3.21
Cd 0.0000 0.9919 0.9919  6 Mg 2.94-3.01, 1 Ho 3.18, 2 Nd 3.23
Mg 0.5000 0.9996 0.7543  2 Al 2.89-2.93, 2 Cd 2.94, 2 Mg 3.17-3.21
Mg 0.5000 0.2444 0.2444  2 Al 2.88, 2 Cd 3.01, 2 Mg 3.21
Ho 0.0000 0.5735 0.5735  1 Cd 3.18, 4 Al 3.18, 2 Mg 3.41

- DFT total energy: -29.977 eV/cell
- Crystal system: orthorhombic


Entry from OQMD: a relaxed structure of Cd3H14S3N2O16 (GGA-PBE).

a = 9.9340 Å, b = 9.9340 Å, c = 9.8601 Å
α = 90.00°, β = 90.00°, γ = 46.38°
Last column: nearest neighbours and their distance in Å.
Sites, in units of the cell vectors:
O 0.9209 0.3382 0.3181  2 H 0.99-1.01
O 0.0791 0.6618 0.8181  2 H 0.99-1.01
H 0.8764 0.8127 0.7145  1 N 1.04
O 0.2822 0.7178 0.6250  1 H 0.98
H 0.9190 0.2585 0.3761  1 O 0.99
H 0.1887 0.1871 0.0557  1 N 1.03
H 0.4085 0.9373 0.8788  1 O 1.01
O 0.6353 0.2309 0.5874  1 S 1.48
H 0.1236 0.1873 0.2145  1 N 1.04
O 0.5221 0.9699 0.9557  1 S 1.48, 1 H 1.57
O 0.7299 0.5900 0.0180  1 S 1.47
H 0.1873 0.1236 0.7145  1 N 1.04
O 0.8116 0.5589 0.7810  1 S 1.51
O 0.0247 0.7199 0.4203  1 S 1.50
O 0.6618 0.0791 0.3181  2 H 0.99-1.01
O 0.2701 0.4100 0.5180  1 S 1.47
O 0.8979 0.1021 0.4470  1 S 1.51
H 0.8113 0.8129 0.5557  1 N 1.03
S 0.8856 0.4778 0.9210  4 O 1.47-1.51
O 0.9753 0.2801 0.9203  1 S 1.50
O 0.9699 0.5221 0.4557  1 S 1.48, 1 H 1.57
H 0.4724 0.5276 0.9304  1 O 0.98
O 0.0629 0.9371 0.1937  1 S 1.49
N 0.8446 0.7702 0.1555  4 H 1.03-1.04
H 0.8129 0.8113 0.0557  1 N 1.03
Cd 0.8121 0.1879 0.9118  6 O 2.23-2.36
H 0.2422 0.2455 0.6905  1 N 1.04
Cd 0.3579 0.4590 0.7079  6 O 2.26-2.35
N 0.1554 0.2298 0.6555  4 H 1.03-1.04
H 0.7578 0.7545 0.1905  1 N 1.04
H 0.0174 0.3521 0.6666  1 N 1.03
O 0.2309 0.6353 0.0874  1 S 1.48
O 0.3382 0.9209 0.8181  2 H 0.99-1.01
H 0.0810 0.7415 0.8761  1 O 0.99
O 0.1884 0.4411 0.2810  1 S 1.51
H 0.6479 0.9826 0.6666  1 N 1.03
O 0.4779 0.0301 0.4557  1 S 1.48, 1 H 1.57
H 0.9373 0.4085 0.3788  1 O 1.01
H 0.3521 0.0174 0.1666  1 N 1.03
S 0.8079 0.1921 0.5825  4 O 1.48-1.51
H 0.5915 0.0627 0.3788  1 O 1.01
H 0.7415 0.0810 0.3761  1 O 0.99
H 0.8127 0.8764 0.2145  1 N 1.04
H 0.1722 0.8278 0.6735  1 O 0.98
Cd 0.5410 0.6421 0.7079  6 O 2.26-2.35
H 0.5276 0.4724 0.4304  1 O 0.98
H 0.8278 0.1722 0.1735  1 O 0.98
S 0.1144 0.5222 0.4210  4 O 1.47-1.51
N 0.2298 0.1554 0.1555  4 H 1.03-1.04
O 0.7691 0.3647 0.5874  1 S 1.48
O 0.5394 0.4606 0.8469  1 H 0.98
H 0.0627 0.5915 0.8788  1 O 1.01
N 0.7702 0.8446 0.6555  4 H 1.03-1.04
H 0.7545 0.7578 0.6905  1 N 1.04
O 0.4411 0.1884 0.7810  1 S 1.51
Cd 0.4590 0.3579 0.2079  6 O 2.26-2.35
O 0.2801 0.9753 0.4203  1 S 1.50
O 0.5900 0.7299 0.5180  1 S 1.47
Cd 0.6421 0.5410 0.2079  6 O 2.26-2.35
H 0.9826 0.6479 0.1666  1 N 1.03
S 0.4778 0.8856 0.4210  4 O 1.47-1.51
O 0.4606 0.5394 0.3468  1 H 0.98
H 0.1871 0.1887 0.5557  1 N 1.03
O 0.7178 0.2822 0.1250  1 H 0.98
O 0.4100 0.2701 0.0180  1 S 1.47
O 0.9371 0.0629 0.6937  1 S 1.49
H 0.2585 0.9190 0.8761  1 O 0.99
Cd 0.1879 0.8121 0.4118  6 O 2.23-2.36
O 0.5589 0.8116 0.2810  1 S 1.51
S 0.1921 0.8079 0.0825  4 O 1.48-1.51
O 0.7199 0.0247 0.9203  1 S 1.50
O 0.1021 0.8979 0.9470  1 S 1.51
S 0.5222 0.1144 0.9210  4 O 1.47-1.51
O 0.3647 0.7691 0.0874  1 S 1.48
O 0.0301 0.4779 0.9557  1 S 1.48, 1 H 1.57
H 0.2455 0.2422 0.1905  1 N 1.04

- DFT total energy: -397.668 eV/cell
- Crystal system: orthorhombic


Entry from OQMD: a relaxed structure of Er2Pa2O5 (GGA-PBE).

a = 8.8363 Å, b = 4.2171 Å, c = 4.2171 Å
α = 90.00°, β = 90.00°, γ = 90.00°
Last column: nearest neighbours and their distance in Å.
Sites, in units of the cell vectors:
O 0.6731 0.5000 0.0000  2 Pa 2.22
Pa 0.2484 0.5000 0.5000  5 O 2.22
Er 0.5000 0.0000 0.0000  8 O 2.61
O 0.3269 0.5000 0.0000  2 Pa 2.22
Er 0.0000 0.0000 0.0000  8 O 3.58, 8 Pa 3.70
O 0.5000 0.5000 0.5000  2 Pa 2.22
Pa 0.7516 0.5000 0.5000  5 O 2.22
O 0.3269 0.0000 0.5000  2 Pa 2.22
O 0.6731 0.0000 0.5000  2 Pa 2.22

- DFT total energy: -71.620 eV/cell
- Crystal system: tetragonal


Entry from OQMD: a relaxed structure of HfCuSiIr (GGA-PBE).

a = 4.3605 Å, b = 4.3605 Å, c = 4.3605 Å
α = 60.00°, β = 60.00°, γ = 60.00°
Last column: nearest neighbours and their distance in Å.
Sites, in units of the cell vectors:
Si 0.2500 0.2500 0.2500  4 Hf 2.67, 4 Ir 2.67
Ir 0.0000 0.0000 0.0000  4 Cu 2.67, 4 Si 2.67
Hf 0.5000 0.5000 0.5000  4 Si 2.67, 4 Cu 2.67
Cu 0.7500 0.7500 0.7500  4 Hf 2.67, 4 Ir 2.67

- DFT total energy: -29.646 eV/cell
- Crystal system: cubic